1.
Here is crystalline La2GeRu2 at its relaxed geometry from Alexandria via LeMat-Bulk. Energies are from GGA-PBE.

Output
formation energy	-363	meV per atom
size of the total moment	0.0	μB/f.u.
uncorrected energy	-34.84	eV/f.u.

Lattice parameters (Å, degrees): 6.883 6.883 4.570 90.00 90.00 90.00
Atoms (fractional coordinates):
La 0.185 0.315 0.000
La 0.315 0.815 0.000
La 0.685 0.185 0.000
La 0.815 0.685 0.000
Ge 0.000 0.000 0.500
Ge 0.500 0.500 0.500
Ru 0.134 0.634 0.500
Ru 0.366 0.134 0.500
Ru 0.634 0.866 0.500
Ru 0.866 0.366 0.500

2.
Here is crystalline Li4Zn3Hg2 at its relaxed geometry from Alexandria via LeMat-Bulk. Energies are from GGA-PBE.

Output
formation energy	-227	meV per atom
size of the total moment	0.0	μB/f.u.
uncorrected energy	-14.12	eV/f.u.

Lattice parameters (Å, degrees): 4.704 4.704 8.391 99.65 99.65 54.55
Atoms (fractional coordinates):
Li 0.014 0.014 0.336
Li 0.341 0.341 0.113
Li 0.659 0.659 0.887
Li 0.986 0.986 0.664
Zn 0.000 0.000 0.000
Zn 0.342 0.342 0.453
Zn 0.658 0.658 0.547
Hg 0.316 0.316 0.781
Hg 0.684 0.684 0.219

3.
Here is crystalline Cs3Sb5O14 at its relaxed geometry from Alexandria via LeMat-Bulk. Energies are from GGA-PBE.

Output
size of the total moment	0.0	μB/f.u.
uncorrected energy	-126.04	eV/f.u.

Lattice parameters (Å, degrees): 7.471 25.949 7.456 90.00 90.00 90.00
Atoms (fractional coordinates):
Cs 0.139 0.119 0.000
Cs 0.150 0.211 0.500
Cs 0.238 0.483 0.000
Cs 0.262 0.983 0.000
Cs 0.350 0.711 0.500
Cs 0.361 0.619 0.000
Cs 0.639 0.381 0.000
Cs 0.650 0.289 0.500
Cs 0.738 0.017 0.000
Cs 0.762 0.517 0.000
Cs 0.850 0.789 0.500
Cs 0.861 0.881 0.000
Sb 0.077 0.945 0.500
Sb 0.093 0.559 0.500
Sb 0.114 0.748 0.000
Sb 0.146 0.350 0.243
Sb 0.146 0.350 0.757
Sb 0.354 0.850 0.243
Sb 0.354 0.850 0.757
Sb 0.386 0.248 0.000
Sb 0.407 0.059 0.500
Sb 0.423 0.445 0.500
Sb 0.577 0.555 0.500
Sb 0.593 0.941 0.500
Sb 0.614 0.752 0.000
Sb 0.646 0.150 0.243
Sb 0.646 0.150 0.757
Sb 0.854 0.650 0.243
Sb 0.854 0.650 0.757
Sb 0.886 0.252 0.000
Sb 0.907 0.441 0.500
Sb 0.923 0.055 0.500
O 0.000 0.000 0.324
O 0.000 0.000 0.676
O 0.030 0.585 0.267
O 0.030 0.585 0.733
O 0.066 0.694 0.191
O 0.066 0.694 0.809
O 0.095 0.336 0.500
O 0.133 0.224 0.000
O 0.156 0.902 0.299
O 0.156 0.902 0.701
O 0.159 0.484 0.500
O 0.166 0.088 0.500
O 0.166 0.797 0.207
O 0.166 0.797 0.793
O 0.168 0.379 0.000
O 0.332 0.879 0.000
O 0.334 0.297 0.207
O 0.334 0.297 0.793
O 0.334 0.588 0.500
O 0.341 0.984 0.500
O 0.344 0.402 0.299
O 0.344 0.402 0.701
O 0.367 0.724 0.000
O 0.405 0.836 0.500
O 0.434 0.194 0.191
O 0.434 0.194 0.809
O 0.470 0.085 0.267
O 0.470 0.085 0.733
O 0.500 0.500 0.324
O 0.500 0.500 0.676
O 0.530 0.915 0.267
O 0.530 0.915 0.733
O 0.566 0.806 0.191
O 0.566 0.806 0.809
O 0.595 0.164 0.500
O 0.633 0.276 0.000
O 0.656 0.598 0.299
O 0.656 0.598 0.701
O 0.659 0.016 0.500
O 0.666 0.412 0.500
O 0.666 0.703 0.207
O 0.666 0.703 0.793
O 0.668 0.121 0.000
O 0.832 0.621 0.000
O 0.834 0.203 0.207
O 0.834 0.203 0.793
O 0.834 0.912 0.500
O 0.841 0.516 0.500
O 0.844 0.098 0.299
O 0.844 0.098 0.701
O 0.867 0.776 0.000
O 0.905 0.664 0.500
O 0.934 0.306 0.191
O 0.934 0.306 0.809
O 0.970 0.415 0.267
O 0.970 0.415 0.733

4.
Here is crystalline Li2TaSi at its relaxed geometry from Alexandria via LeMat-Bulk. Energies are from GGA-PBE.

Output
size of the total moment	0.0	μB/f.u.
uncorrected energy	-20.83	eV/f.u.

Lattice parameters (Å, degrees): 9.691 9.691 9.691 17.06 17.06 17.06
Atoms (fractional coordinates):
Li 0.000 0.000 0.000
Li 0.239 0.239 0.239
Ta 0.756 0.756 0.756
Si 0.498 0.498 0.498

5.
Here is crystalline La6Ge2OsI3 at its relaxed geometry from Alexandria via LeMat-Bulk. Energies are from GGA-PBE.

Output
size of the total moment	0.0	μB/f.u.
uncorrected energy	-66.20	eV/f.u.

Lattice parameters (Å, degrees): 7.642 7.642 8.310 99.08 99.08 118.63
Atoms (fractional coordinates):
La 0.061 0.370 0.189
La 0.259 0.259 0.796
La 0.370 0.061 0.189
La 0.630 0.939 0.811
La 0.741 0.741 0.204
La 0.939 0.630 0.811
Ge 0.335 0.665 0.000
Ge 0.665 0.335 0.000
Os 0.000 0.000 0.000
I 0.174 0.826 0.500
I 0.500 0.500 0.500
I 0.826 0.174 0.500

6.
Here is crystalline LiZn2Mo at its relaxed geometry from Alexandria via LeMat-Bulk. Energies are from GGA-PBE.

Output
formation energy	-10	meV per atom
energy relative to the lowest polymorph listed for this composition	0.003	eV/atom
size of the total moment	0.0	μB/f.u.
uncorrected energy	-15.33	eV/f.u.

Lattice parameters (Å, degrees): 2.777 2.777 7.343 90.00 90.00 90.00
Atoms (fractional coordinates):
Li 0.000 0.000 0.000
Zn 0.500 0.500 0.232
Zn 0.500 0.500 0.768
Mo 0.000 0.000 0.500

7.
Here is crystalline Cs3LaDy2S6 at its relaxed geometry from Alexandria via LeMat-Bulk. Energies are from GGA-PBE.

Output
size of the total moment	0.0	μB/f.u.
uncorrected energy	-63.62	eV/f.u.

Lattice parameters (Å, degrees): 7.253 7.253 8.425 98.25 98.25 120.00
Atoms (fractional coordinates):
Cs 0.000 0.000 0.000
Cs 0.335 0.665 0.000
Cs 0.665 0.335 0.000
La 0.500 0.500 0.500
Dy 0.167 0.833 0.500
Dy 0.833 0.167 0.500
S 0.093 0.439 0.317
S 0.215 0.215 0.683
S 0.439 0.093 0.317
S 0.561 0.907 0.683
S 0.785 0.785 0.317
S 0.907 0.561 0.683

8.
Here is crystalline GdPuCo2 at its relaxed geometry from Alexandria via LeMat-Bulk. Energies are from GGA-PBE.

Output
formation energy	1	meV per atom
size of the total moment	11.0	μB/f.u.
uncorrected energy	-42.62	eV/f.u.

Lattice parameters (Å, degrees): 4.727 4.727 4.727 60.00 60.00 60.00
Atoms (fractional coordinates):
Gd 0.000 0.000 0.000
Pu 0.500 0.500 0.500
Co 0.250 0.250 0.250
Co 0.750 0.750 0.750

9.
Here is crystalline Sr2SiAsAu6 at its relaxed geometry from Alexandria via LeMat-Bulk. Energies are from GGA-PBE.

Output
size of the total moment	0.0	μB/f.u.
uncorrected energy	-38.17	eV/f.u.

Lattice parameters (Å, degrees): 7.144 8.955 7.307 90.00 90.00 90.00
Atoms (fractional coordinates):
Sr 0.250 0.015 0.242
Sr 0.250 0.485 0.242
Sr 0.750 0.515 0.758
Sr 0.750 0.985 0.758
Si 0.250 0.250 0.595
Si 0.750 0.750 0.405
As 0.250 0.750 0.919
As 0.750 0.250 0.081
Au 0.052 0.250 0.903
Au 0.058 0.750 0.532
Au 0.250 0.505 0.731
Au 0.250 0.995 0.731
Au 0.442 0.750 0.532
Au 0.448 0.250 0.903
Au 0.552 0.750 0.097
Au 0.558 0.250 0.468
Au 0.750 0.005 0.269
Au 0.750 0.495 0.269
Au 0.942 0.250 0.468
Au 0.948 0.750 0.097

10.
Here is crystalline Rb2NpTiS5 at its relaxed geometry from Alexandria via LeMat-Bulk. Energies are from GGA-PBE.

Output
size of the total moment	3.0	μB/f.u.
uncorrected energy	-54.87	eV/f.u.

Lattice parameters (Å, degrees): 9.668 9.668 14.241 90.00 90.00 155.48
Atoms (fractional coordinates):
Rb 0.119 0.881 0.500
Rb 0.133 0.867 0.150
Rb 0.867 0.133 0.650
Rb 0.881 0.119 0.000
Np 0.201 0.799 0.851
Np 0.799 0.201 0.351
Ti 0.437 0.563 0.252
Ti 0.563 0.437 0.752
S 0.050 0.950 0.835
S 0.302 0.698 0.469
S 0.318 0.682 0.219
S 0.330 0.670 0.828
S 0.492 0.508 0.119
S 0.508 0.492 0.619
S 0.670 0.330 0.328
S 0.682 0.318 0.719
S 0.698 0.302 0.969
S 0.950 0.050 0.335

11.
Here is crystalline Ho5Sc12Cd3 at its relaxed geometry from Alexandria via LeMat-Bulk. Energies are from GGA-PBE.

Output
formation energy	899	meV per atom
size of the total moment	0.0	μB/f.u.
uncorrected energy	-83.64	eV/f.u.

Lattice parameters (Å, degrees): 15.201 15.201 15.201 109.47 109.47 109.47
Atoms (fractional coordinates):
Ho 0.000 0.000 0.000
Ho 0.000 0.000 0.500
Ho 0.000 0.500 0.000
Ho 0.000 0.500 0.500
Ho 0.125 0.750 0.875
Ho 0.125 0.875 0.250
Ho 0.250 0.125 0.875
Ho 0.250 0.625 0.375
Ho 0.375 0.250 0.625
Ho 0.375 0.625 0.750
Ho 0.500 0.000 0.000
Ho 0.500 0.000 0.500
Ho 0.500 0.500 0.000
Ho 0.500 0.500 0.500
Ho 0.625 0.375 0.250
Ho 0.625 0.750 0.375
Ho 0.750 0.375 0.625
Ho 0.750 0.875 0.125
Ho 0.875 0.125 0.750
Ho 0.875 0.250 0.125
Sc 0.067 0.654 0.422
Sc 0.067 0.914 0.646
Sc 0.078 0.732 0.646
Sc 0.078 0.846 0.433
Sc 0.086 0.232 0.154
Sc 0.086 0.354 0.933
Sc 0.146 0.232 0.578
Sc 0.146 0.414 0.567
Sc 0.154 0.086 0.232
Sc 0.154 0.567 0.922
Sc 0.232 0.154 0.086
Sc 0.232 0.578 0.146
Sc 0.268 0.354 0.922
Sc 0.268 0.414 0.346
Sc 0.346 0.268 0.414
Sc 0.346 0.578 0.933
Sc 0.354 0.922 0.268
Sc 0.354 0.933 0.086
Sc 0.414 0.346 0.268
Sc 0.414 0.567 0.146
Sc 0.422 0.067 0.654
Sc 0.422 0.854 0.768
Sc 0.433 0.078 0.846
Sc 0.433 0.854 0.586
Sc 0.567 0.146 0.414
Sc 0.567 0.922 0.154
Sc 0.578 0.146 0.232
Sc 0.578 0.933 0.346
Sc 0.586 0.433 0.854
Sc 0.586 0.654 0.732
Sc 0.646 0.067 0.914
Sc 0.646 0.078 0.732
Sc 0.654 0.422 0.067
Sc 0.654 0.732 0.586
Sc 0.732 0.586 0.654
Sc 0.732 0.646 0.078
Sc 0.768 0.422 0.854
Sc 0.768 0.846 0.914
Sc 0.846 0.433 0.078
Sc 0.846 0.914 0.768
Sc 0.854 0.586 0.433
Sc 0.854 0.768 0.422
Sc 0.914 0.646 0.067
Sc 0.914 0.768 0.846
Sc 0.922 0.154 0.567
Sc 0.922 0.268 0.354
Sc 0.933 0.086 0.354
Sc 0.933 0.346 0.578
Cd 0.125 0.250 0.375
Cd 0.125 0.375 0.750
Cd 0.250 0.375 0.125
Cd 0.250 0.875 0.625
Cd 0.375 0.125 0.250
Cd 0.375 0.750 0.125
Cd 0.625 0.250 0.875
Cd 0.625 0.875 0.750
Cd 0.750 0.125 0.375
Cd 0.750 0.625 0.875
Cd 0.875 0.625 0.250
Cd 0.875 0.750 0.625

12.
Here is crystalline Rb2U3CdSe8 at its relaxed geometry from Alexandria via LeMat-Bulk. Energies are from GGA-PBE.

Output
size of the total moment	6.0	μB/f.u.
uncorrected energy	-80.17	eV/f.u.

Lattice parameters (Å, degrees): 9.865 9.865 9.865 49.73 49.73 49.73
Atoms (fractional coordinates):
Rb 0.000 0.000 0.000
Rb 0.349 0.349 0.349
U 0.353 0.353 0.848
U 0.353 0.848 0.353
U 0.848 0.353 0.353
Cd 0.841 0.841 0.841
Se 0.081 0.081 0.570
Se 0.081 0.570 0.081
Se 0.127 0.127 0.127
Se 0.134 0.616 0.616
Se 0.570 0.081 0.081
Se 0.579 0.579 0.579
Se 0.616 0.134 0.616
Se 0.616 0.616 0.134